[1]
The following is a GGA-PBE calculation of Na3Ac2F8 after structural relaxation, from Alexandria. Values from VASP.

Computed properties:
Calculated density in g cm⁻³: 5.5
Uncorrected formation energy in eV per atom: -3.290
DOS at the Fermi energy in states/eV/atom: 0.23

Quantum ESPRESSO input file:
```
&SYSTEM
  ibrav = 0, nat = 13, ntyp = 3
/
ATOMIC_SPECIES
Ac 227.00 Ac.upf
F 19.00 F.upf
Na 22.99 Na.upf
ATOMIC_POSITIONS angstrom
Ac -2.0848 -3.1511 -0.2817
F -1.2818 -7.9029 -0.4961
F -3.7940 -4.8663 0.3677
F -3.4783 -3.7596 -2.4054
Na -1.8207 -4.7720 -3.8959
F -3.7966 -6.4157 -3.6001
F -0.9661 -6.7962 -3.2691
F -0.9635 -5.2468 0.6986
F -1.4050 -9.6135 -4.6781
Ac -2.6753 -8.5114 -2.6198
F -3.3551 -2.0490 1.7766
Na -1.6244 -0.3268 1.1595
Na 0.3094 -6.2368 -1.3245
CELL_PARAMETERS angstrom
-3.2488 -0.6537 2.3189
-3.1206 -3.7515 -5.4294
1.6093 -7.2573 0.2089
```

[2]
The following is a GGA-PBE calculation of Ag2PtW after structural relaxation, from Alexandria. Values from VASP.

Computed properties:
Calculated density in g cm⁻³: 15.1
Energy relative to the elements in eV/atom: 0.6758
DOS at the Fermi energy in states/eV/atom: 0.48
Energy above the lowest structure with this stoichiometry in meV/atom: 560.2

Quantum ESPRESSO input file:
```
&SYSTEM
  ibrav = 0, nat = 4, ntyp = 3
/
ATOMIC_SPECIES
Ag 107.87 Ag.upf
Pt 195.08 Pt.upf
W 183.84 W.upf
ATOMIC_POSITIONS angstrom
Ag 0.7094 -2.4339 1.1218
Pt 1.4187 -4.8677 2.2436
W 0.0000 0.0000 0.0000
Ag 2.1281 -7.3016 3.3654
CELL_PARAMETERS angstrom
1.7638 -2.0134 3.6510
-1.5335 -4.0520 1.3130
2.6072 -3.6701 -0.4768
```

[3]
The following is a GGA-PBE calculation of Pu2GeRu after structural relaxation, from Alexandria. Values from VASP.

Computed properties:
Calculated density in g cm⁻³: 13.5
Energy relative to the elements in eV/atom: 0.2831
DOS at the Fermi energy in states/eV/atom: 2.09

Quantum ESPRESSO input file:
```
&SYSTEM
  ibrav = 0, nat = 4, ntyp = 3
/
ATOMIC_SPECIES
Pu 244.00 Pu.upf
Ru 101.07 Ru.upf
Ge 72.64 Ge.upf
ATOMIC_POSITIONS angstrom
Pu 4.4237 2.5540 3.0269
Ru 2.9491 1.7027 5.3926
Pu 1.4746 0.8513 7.7582
Ge 0.0000 0.0000 0.0000
CELL_PARAMETERS angstrom
2.9491 0.0000 0.0000
1.4746 2.5540 0.0000
1.4746 0.8513 10.7851
```

[4]
The following is a GGA-PBE calculation of Cs2Bi2F after structural relaxation, from Alexandria. Values from VASP.

Computed properties:
Calculated density in g cm⁻³: 4.7
Uncorrected formation energy in eV per atom: -0.602
DOS at the Fermi energy in states/eV/atom: 0.88
Energy above the lowest structure with this stoichiometry in meV/atom: 278.6

Quantum ESPRESSO input file:
```
&SYSTEM
  ibrav = 0, nat = 5, ntyp = 3
/
ATOMIC_SPECIES
Cs 132.91 Cs.upf
F 19.00 F.upf
Bi 208.98 Bi.upf
ATOMIC_POSITIONS angstrom
Cs -6.2608 -5.0308 -3.2822
F 0.0000 0.0000 0.0000
Cs -6.2514 -5.6795 1.9856
Bi -4.1941 -3.5210 -0.4261
Bi -8.3181 -7.1892 -0.8705
CELL_PARAMETERS angstrom
-4.7890 -2.9012 4.9989
-4.8078 -1.6037 -5.5366
-2.9154 -6.2053 -0.7590
```

[5]
The following is a GGA-PBE calculation of Sr2MnFe after structural relaxation, from Alexandria. Values from VASP.

Computed properties:
Calculated density in g cm⁻³: 4.3
Energy relative to the elements in eV/atom: 0.5256
DOS at the Fermi energy in states/eV/atom: 1.37
Energy above the lowest structure with this stoichiometry in meV/atom: 162.3

Quantum ESPRESSO input file:
```
&SYSTEM
  ibrav = 0, nat = 4, ntyp = 3
/
ATOMIC_SPECIES
Sr 87.62 Sr.upf
Mn 54.94 Mn.upf
Fe 55.84 Fe.upf
ATOMIC_POSITIONS angstrom
Sr 1.7778 1.7777 2.9067
Sr 0.0000 0.0000 8.1704
Mn 1.7778 1.7777 5.9240
Fe 0.0000 0.0000 5.0886
CELL_PARAMETERS angstrom
3.5555 0.0000 0.0000
0.0000 3.5555 0.0000
0.0000 0.0000 8.8359
```

[6]
The following is a GGA-PBE calculation of InH4Ir after structural relaxation, from Alexandria. Values from VASP.

Computed properties:
Calculated density in g cm⁻³: 8.4
DOS at the Fermi energy in states/eV/atom: 0.13
Total DFT energy (no corrections) in eV/atom: -4.1359

Quantum ESPRESSO input file:
```
&SYSTEM
  ibrav = 0, nat = 12, ntyp = 3
/
ATOMIC_SPECIES
H 1.01 H.upf
Ir 192.22 Ir.upf
In 114.82 In.upf
ATOMIC_POSITIONS angstrom
H 3.5292 0.4901 7.2572
H 2.7113 1.1644 9.2597
Ir 4.1318 -0.0070 5.7819
H 0.3278 0.6575 4.4294
Ir -0.2749 1.1544 5.9048
H 3.6453 -0.2428 4.2264
In 2.3214 2.1021 5.4890
H 5.5345 -0.5273 5.0939
H 1.1456 -0.0171 2.4270
In -1.3471 2.6547 3.8045
H 0.2115 1.3897 7.4603
H -1.6777 1.6743 6.5928
CELL_PARAMETERS angstrom
-1.2816 2.9095 3.7454
-2.0675 -0.1476 4.4542
7.3369 -1.1052 3.3690
```

Q: Look up the calculated density of the fifth one.
A: 4.3 g cm⁻³